Entry 1:
Here is crystalline BeOs2Ru at its relaxed geometry from Alexandria via LeMat-Bulk. Energies are from PBE.

## Properties
As for the magnetization: 0.00 μB/atom. For the formation enthalpy at 0 K, the calculation gives 57 kJ/mol of formula units. As for the space-group type: Pmmm.

Lattice parameters (Å, degrees): 2.737 3.802 5.087 90.00 90.00 90.00
Sites, in units of the cell vectors:
Be 0.000 0.000 0.000
Os 0.500 0.500 0.237
Os 0.500 0.500 0.763
Ru 0.000 0.000 0.500



Entry 2:
Here is crystalline MgAgBr2N at its relaxed geometry from Alexandria via LeMat-Bulk. Energies are from PBE.

## Properties
As for the magnetization: 0.40 μB/atom. As for the space-group type: P4/mmm. The value obtained for the formation energy without anion corrections is 0.1085 eV/atom. The energy relative to the lowest polymorph listed for this composition comes out at 0.000 eV per atom.

Lattice parameters (Å, degrees): 5.405 5.405 4.074 90.00 90.00 90.00
Sites, in units of the cell vectors:
Mg 0.000 0.000 0.000
Ag 0.500 0.500 0.500
Br 0.000 0.500 0.000
Br 0.500 0.000 0.000
N 0.000 0.000 0.500